# 1
Compound: K2HgIrF6
Source: the Alexandria database
Functional: PBE
Structure: relaxed

Lattice parameters (Å, degrees): 6.768 6.768 6.768 60.00 60.00 60.00
Atoms (fractional coordinates):
K1 0.250 0.250 0.250
K2 0.750 0.750 0.750
Hg1 0.000 0.000 0.000
Ir1 0.500 0.500 0.500
F1 0.294 0.294 0.706
F2 0.294 0.706 0.294
F3 0.294 0.706 0.706
F4 0.706 0.294 0.294
F5 0.706 0.294 0.706
F6 0.706 0.706 0.294

Values from the calculation:
crystal system: cubic
total magnetization: 1.01 μB/cell
raw formation energy: -1.84 eV per atom

---

# 2
Compound: Ac2Ga2Au5
Source: the Alexandria database
Functional: PBE
Structure: relaxed

Lattice parameters (Å, degrees): 4.869 4.869 8.930 90.00 90.00 90.00
Atoms (fractional coordinates):
Ac1 0.000 0.000 0.000
Ac2 0.000 0.000 0.500
Ga1 0.500 0.500 0.149
Ga2 0.500 0.500 0.851
Au1 0.000 0.500 0.257
Au2 0.000 0.500 0.743
Au3 0.500 0.000 0.257
Au4 0.500 0.000 0.743
Au5 0.500 0.500 0.500

Values from the calculation:
crystal system: tetragonal
energy of formation from the pure elements: -0.5924 eV/atom
total magnetization: 0.00 μB/cell

---

# 3
Compound: Li4SnAu5
Source: the Alexandria database
Functional: PBE
Structure: relaxed

Lattice parameters (Å, degrees): 3.295 3.295 15.409 90.00 90.00 90.00
Atoms (fractional coordinates):
Li1 0.000 0.000 0.094
Li2 0.000 0.000 0.283
Li3 0.000 0.000 0.717
Li4 0.000 0.000 0.906
Sn1 0.000 0.000 0.500
Au1 0.500 0.500 0.000
Au2 0.500 0.500 0.186
Au3 0.500 0.500 0.372
Au4 0.500 0.500 0.628
Au5 0.500 0.500 0.814

Values from the calculation:
crystal system: tetragonal
energy of formation from the pure elements: -0.4509 eV/atom
total magnetization: 0.00 μB/cell

---

# 4
Compound: CsReGe2N
Source: the Alexandria database
Functional: PBE
Structure: relaxed

Lattice parameters (Å, degrees): 5.330 5.330 3.856 90.00 90.00 90.00
Atoms (fractional coordinates):
Cs1 0.000 0.000 0.000
Re1 0.500 0.500 0.000
Ge1 0.000 0.500 0.500
Ge2 0.500 0.000 0.500
N1 0.500 0.500 0.500

Values from the calculation:
crystal system: tetragonal
total magnetization: 0.00 μB/cell
raw formation energy: 1.06 eV per atom

---

# 5
Compound: LiZrRu
Source: the Alexandria database
Functional: PBE
Structure: relaxed

Lattice parameters (Å, degrees): 5.111 8.210 5.111 90.00 111.26 90.00
Atoms (fractional coordinates):
Li1 0.000 0.024 0.250
Li2 0.000 0.976 0.750
Li3 0.500 0.476 0.750
Li4 0.500 0.524 0.250
Zr1 0.000 0.365 0.250
Zr2 0.000 0.635 0.750
Zr3 0.500 0.135 0.750
Zr4 0.500 0.865 0.250
Ru1 0.000 0.301 0.750
Ru2 0.000 0.699 0.250
Ru3 0.500 0.199 0.250
Ru4 0.500 0.801 0.750

Values from the calculation:
crystal system: monoclinic
energy of formation from the pure elements: -0.1913 eV/atom
total magnetization: 0.00 μB/cell

---

# 6
Compound: AcSmYHo
Source: the Alexandria database
Functional: PBE
Structure: relaxed

Lattice parameters (Å, degrees): 3.526 5.783 7.017 90.00 90.00 90.00
Atoms (fractional coordinates):
Ac1 0.000 0.000 0.000
Sm1 0.000 0.500 0.283
Y1 0.000 0.000 0.517
Ho1 0.500 0.500 0.743

Values from the calculation:
crystal system: orthorhombic
energy of formation from the pure elements: 0.2187 eV/atom
total magnetization: 0.00 μB/cell

---

Copy entry 3 word for word.
Compound: Li4SnAu5
Source: the Alexandria database
Functional: PBE
Structure: relaxed

Lattice parameters (Å, degrees): 3.295 3.295 15.409 90.00 90.00 90.00
Atoms (fractional coordinates):
Li1 0.000 0.000 0.094
Li2 0.000 0.000 0.283
Li3 0.000 0.000 0.717
Li4 0.000 0.000 0.906
Sn1 0.000 0.000 0.500
Au1 0.500 0.500 0.000
Au2 0.500 0.500 0.186
Au3 0.500 0.500 0.372
Au4 0.500 0.500 0.628
Au5 0.500 0.500 0.814

Values from the calculation:
crystal system: tetragonal
energy of formation from the pure elements: -0.4509 eV/atom
total magnetization: 0.00 μB/cell

---

- Number 2 is which compound?
  Ac2Ga2Au5